Entry 1:
Density functional theory data (PBE+U) for a relaxed LaFeAgF2 crystal.

Calculated values
Crystal system: tetragonal
Energy: -0.3358 Ry per atom

Unit cell a=4.285 b=5.270 c=4.285 alpha=90.00 beta=90.00 gamma=90.00
Positions (direct):
F1 0.000 0.000 0.500
F2 0.500 0.000 0.000
Fe1 0.000 0.000 0.000
Ag1 0.000 0.500 0.000
La1 0.500 0.500 0.500

Entry 2:
Density functional theory data (PBE+U) for a relaxed Li2FeAgF6 crystal.

Calculated values
Crystal system: cubic
Energy: -0.2996 Ry per atom

Unit cell a=5.933 b=5.933 c=5.933 alpha=60.00 beta=60.00 gamma=60.00
Positions (direct):
Li1 0.250 0.250 0.250
Li2 0.750 0.750 0.750
Fe1 0.000 0.000 0.000
Ag1 0.500 0.500 0.500
F1 0.224 0.224 0.776
F2 0.224 0.776 0.776
F3 0.776 0.776 0.224
F4 0.224 0.776 0.224
F5 0.776 0.224 0.776
F6 0.776 0.224 0.224

Entry 3:
Density functional theory data (PBE+U) for a relaxed MgFeAgF6 crystal.

Calculated values
Crystal system: trigonal
Energy: -0.3394 Ry per atom

Unit cell a=5.251 b=5.251 c=10.453 alpha=90.00 beta=90.00 gamma=120.00
Positions (direct):
Mg1 0.667 0.333 0.250
Mg2 0.333 0.667 0.750
Fe1 0.333 0.667 0.250
Fe2 0.667 0.333 0.750
Ag1 0.000 0.000 0.000
Ag2 0.000 0.000 0.500
F1 0.625 0.641 0.150
F2 0.015 0.375 0.150
F3 0.375 0.015 0.650
F4 0.985 0.625 0.850
F5 0.359 0.375 0.350
F6 0.015 0.641 0.350
F7 0.641 0.015 0.850
F8 0.625 0.985 0.350
F9 0.985 0.359 0.650
F10 0.359 0.985 0.150
F11 0.641 0.625 0.650
F12 0.375 0.359 0.850